A plane-wave DFT calculation with PBE-GGA was carried out for a relaxed AsRu2Au crystal.

Values from the calculation:
**Total magnetic moment**: 0.000 μB per atom
**Raw total energy**: -49.4 eV per cell

abc: 3.9222 3.9222 8.0780
angles: 90.00 90.00 90.00
Space group I-4m2 (No. 119)
Unique sites:
As 0.0000 0.0000 0.0000 [2 per cell]
Ru 0.0000 0.0000 0.5000 [2 per cell]
Ru 0.0000 0.5000 0.2500 [2 per cell]
Au 0.0000 0.5000 0.7500 [2 per cell]

---

A plane-wave DFT calculation with PBE-GGA was carried out for a relaxed BaLiF2 crystal.

Values from the calculation:
**Offset from the most stable computed form**: 498 meV/atom
**Uncorrected formation energy**: -9.18 eV/f.u.
**Total magnetic moment**: 0.205 μB per atom
**Raw total energy**: -67.1 eV per cell

abc: 6.6852 6.6852 6.6852
angles: 90.00 90.00 90.00
Space group Fm-3m (No. 225)
Unique sites:
Ba 0.0000 0.0000 0.0000 [4 per cell]
Li 0.0000 0.0000 0.5000 [4 per cell]
F 0.2500 0.2500 0.2500 [8 per cell]

---

A plane-wave DFT calculation with PBE-GGA was carried out for a relaxed PmTmHg5 crystal.

Values from the calculation:
**Total magnetic moment**: 0.000 μB per atom
**Raw total energy**: -12.6 eV per cell

abc: 4.6151 4.6151 8.7895
angles: 90.00 90.00 90.00
Space group P4/mmm (No. 123)
Unique sites:
Pm 0.0000 0.0000 0.0000 [1 per cell]
Tm 0.5000 0.5000 0.5000 [1 per cell]
Hg 0.0000 0.0000 0.5000 [1 per cell]
Hg 0.0000 0.5000 0.2460 [4 per cell]

---

A plane-wave DFT calculation with PBE-GGA was carried out for a relaxed LiTa2Sb crystal.

Values from the calculation:
**Uncorrected formation energy**: 2.07 eV/f.u.
**Total magnetic moment**: 0.000 μB per atom
**Raw total energy**: -55.3 eV per cell

abc: 3.4139 4.8258 9.4387
angles: 90.00 90.00 90.00
Space group Cmmm (No. 65)
Unique sites:
Li 0.0000 0.0000 0.0000 [2 per cell]
Ta 0.0000 0.5000 0.2561 [4 per cell]
Sb 0.0000 0.0000 0.5000 [2 per cell]

---

A plane-wave DFT calculation with PBE-GGA was carried out for a relaxed La2TbPr4Nd crystal.

Values from the calculation:
**Total magnetic moment**: 0.000 μB per atom
**Raw total energy**: -38.2 eV per cell

abc: 5.2202 5.2332 10.4978
angles: 90.00 90.13 90.00
Space group P2/m (No. 10)
Unique sites:
La 0.0000 0.0000 0.0000 [1 per cell]
La 0.5000 0.5000 0.5000 [1 per cell]
Tb 0.0000 0.0000 0.5000 [1 per cell]
Pr 0.0001 0.5000 0.2514 [2 per cell]
Pr 0.4993 0.0000 0.7480 [2 per cell]
Nd 0.5000 0.5000 0.0000 [1 per cell]

---

A plane-wave DFT calculation with PBE-GGA was carried out for a relaxed Ce2PrTl2Ag2 crystal.

Values from the calculation:
**Total magnetic moment**: 0.166 μB per atom
**Raw total energy**: -84.9 eV per cell

abc: 4.8245 4.8245 27.1037
angles: 90.00 90.00 120.00
Space group R-3m (No. 166, hexagonal axes)
Unique sites:
Ce 0.0000 0.0000 0.1439 [6 per cell]
Pr 0.0000 0.0000 0.0000 [3 per cell]
Tl 0.0000 0.0000 0.2672 [6 per cell]
Ag 0.0000 0.0000 0.4321 [6 per cell]

---

A plane-wave DFT calculation with PBE-GGA was carried out for a relaxed Ca3Ce2HfAs6 crystal.

Values from the calculation:
**Total magnetic moment**: 0.026 μB per atom
**Raw total energy**: -141.2 eV per cell

abc: 7.1927 12.4641 7.2380
angles: 90.00 109.44 90.00
Space group C2/m (No. 12)
Unique sites:
Ca 0.0000 0.0000 0.0000 [2 per cell]
Ca 0.0000 0.3305 0.0000 [4 per cell]
Ce 0.0000 0.1662 0.5000 [4 per cell]
Hf 0.0000 0.5000 0.5000 [2 per cell]
As 0.2362 0.3402 0.7299 [8 per cell]
As 0.2416 0.5000 0.2694 [4 per cell]

---

A plane-wave DFT calculation with PBE-GGA was carried out for a relaxed PtWAu2 crystal.

Values from the calculation:
**Offset from the most stable computed form**: 486 meV/atom
**Total magnetic moment**: 0.000 μB per atom
**Raw total energy**: -23.6 eV per cell

abc: 4.8509 4.8509 2.8866
angles: 90.00 90.00 90.00
Space group P4/mmm (No. 123)
Unique sites:
Pt 0.0000 0.0000 0.0000 [1 per cell]
W 0.5000 0.5000 0.0000 [1 per cell]
Au 0.0000 0.5000 0.5000 [2 per cell]

---

A plane-wave DFT calculation with PBE-GGA was carried out for a relaxed ZrCu2Mo crystal.

Values from the calculation:
**Offset from the most stable computed form**: 64 meV/atom
**Total magnetic moment**: 0.101 μB per atom
**Raw total energy**: -27.0 eV per cell

abc: 3.3066 3.3066 5.8044
angles: 90.00 90.00 90.00
Space group P4mm (No. 99)
Unique sites:
Zr 0.0000 0.0000 0.0000 [1 per cell]
Cu 0.0000 0.0000 0.4877 [1 per cell]
Cu 0.5000 0.5000 0.2712 [1 per cell]
Mo 0.5000 0.5000 0.7180 [1 per cell]

---

A plane-wave DFT calculation with PBE-GGA was carried out for a relaxed NaLi2TlFe crystal.

Values from the calculation:
**Total magnetic moment**: 0.592 μB per atom
**Raw total energy**: -11.5 eV per cell

abc: 4.5773 4.5773 5.3607
angles: 90.00 90.00 90.00
Space group P4/mmm (No. 123)
Unique sites:
Na 0.0000 0.0000 0.0000 [1 per cell]
Li 0.0000 0.5000 0.0000 [2 per cell]
Tl 0.0000 0.0000 0.5000 [1 per cell]
Fe 0.5000 0.5000 0.5000 [1 per cell]

---

A plane-wave DFT calculation with PBE-GGA was carried out for a relaxed Ce2Sm3Pb4 crystal.

Values from the calculation:
**Total magnetic moment**: 0.237 μB per atom
**Raw total energy**: -88.7 eV per cell

abc: 17.2897 4.9517 6.8732
angles: 90.00 103.33 90.00
Space group C2/m (No. 12)
Unique sites:
Ce 0.1651 0.0000 0.0828 [4 per cell]
Sm 0.0000 0.5000 0.0000 [2 per cell]
Sm 0.1107 0.5000 0.5739 [4 per cell]
Pb 0.0050 0.0000 0.2836 [4 per cell]
Pb 0.2421 0.0000 0.6781 [4 per cell]

---

A plane-wave DFT calculation with PBE-GGA was carried out for a relaxed Tl5HgBr8 crystal.

Values from the calculation:
**Offset from the most stable computed form**: 25 meV/atom
**Uncorrected formation energy**: -9.23 eV/f.u.
**Total magnetic moment**: 0.000 μB per atom
**Raw total energy**: -69.5 eV per cell

abc: 9.5450 9.5450 10.7115
angles: 90.00 90.00 90.00
Space group I-4 (No. 82)
Unique sites:
Tl 0.0000 0.0000 0.0000 [2 per cell]
Tl 0.1132 0.2548 0.6166 [8 per cell]
Hg 0.0000 0.5000 0.2500 [2 per cell]
Br 0.0572 0.2241 0.3001 [8 per cell]
Br 0.0729 0.2937 0.9299 [8 per cell]

---

A plane-wave DFT calculation with PBE-GGA was carried out for a relaxed Th2CdFe crystal.

Values from the calculation:
**Offset from the most stable computed form**: 275 meV/atom
**Total magnetic moment**: 0.000 μB per atom
**Raw total energy**: -70.7 eV per cell

abc: 3.9180 3.9180 29.1217
angles: 90.00 90.00 120.00
Space group R-3m (No. 166, hexagonal axes)
Unique sites:
Th 0.0000 0.0000 0.1174 [6 per cell]
Cd 0.0000 0.0000 0.0000 [3 per cell]
Fe 0.0000 0.0000 0.5000 [3 per cell]

---

A plane-wave DFT calculation with PBE-GGA was carried out for a relaxed RbHfBiPd2 crystal.

Values from the calculation:
**Total magnetic moment**: 0.000 μB per atom
**Raw total energy**: -17.5 eV per cell

abc: 4.8952 4.8952 6.2097
angles: 90.00 90.00 90.00
Space group P4/mmm (No. 123)
Unique sites:
Rb 0.0000 0.0000 0.0000 [1 per cell]
Hf 0.5000 0.5000 0.5000 [1 per cell]
Bi 0.0000 0.0000 0.5000 [1 per cell]
Pd 0.0000 0.5000 0.0000 [2 per cell]

---

A plane-wave DFT calculation with PBE-GGA was carried out for a relaxed DyNp2TaN4 crystal.

Values from the calculation:
**Uncorrected formation energy**: -10.02 eV/f.u.
**Total magnetic moment**: 0.781 μB per atom
**Raw total energy**: -85.7 eV per cell

abc: 5.8098 3.3283 5.8367
angles: 90.00 109.03 90.00
Space group P2/m (No. 10)
Unique sites:
Dy 0.0000 0.0000 0.0000 [1 per cell]
Np 0.0000 0.5000 0.5000 [1 per cell]
Np 0.5000 0.0000 0.5000 [1 per cell]
Ta 0.5000 0.5000 0.0000 [1 per cell]
N 0.2698 0.5000 0.2412 [2 per cell]
N 0.2760 0.0000 0.7715 [2 per cell]

---

A plane-wave DFT calculation with PBE-GGA was carried out for a relaxed Gd2YTe crystal.

Values from the calculation:
**Offset from the most stable computed form**: 41 meV/atom
**Uncorrected formation energy**: -2.22 eV/f.u.
**Total magnetic moment**: 3.981 μB per atom
**Raw total energy**: -120.0 eV per cell

abc: 3.9022 3.9022 29.9895
angles: 90.00 90.00 120.00
Space group R-3m (No. 166, hexagonal axes)
Unique sites:
Gd 0.0000 0.0000 0.2381 [6 per cell]
Y 0.0000 0.0000 0.0000 [3 per cell]
Te 0.0000 0.0000 0.5000 [3 per cell]

---

A plane-wave DFT calculation with PBE-GGA was carried out for a relaxed Ce8CS3I4 crystal.

Values from the calculation:
**Uncorrected formation energy**: -19.70 eV/f.u.
**Total magnetic moment**: 0.547 μB per atom
**Raw total energy**: -284.9 eV per cell

abc: 8.1150 8.1150 22.8496
angles: 90.00 90.00 120.00
Space group R-3m (No. 166, hexagonal axes)
Unique sites:
Ce 0.0000 0.0000 0.2317 [6 per cell]
Ce 0.0259 0.5129 0.2284 [18 per cell]
C 0.0000 0.0000 0.5000 [3 per cell]
S 0.0000 0.5000 0.5000 [9 per cell]
I 0.0000 0.0000 0.0000 [3 per cell]
I 0.0000 0.5000 0.0000 [9 per cell]

---

A plane-wave DFT calculation with PBE-GGA was carried out for a relaxed KBaInPt2 crystal.

Values from the calculation:
**Total magnetic moment**: 0.000 μB per atom
**Raw total energy**: -14.5 eV per cell

abc: 5.5427 5.5427 5.3789
angles: 90.00 90.00 90.00
Space group P4/mmm (No. 123)
Unique sites:
K 0.0000 0.0000 0.0000 [1 per cell]
Ba 0.5000 0.5000 0.5000 [1 per cell]
In 0.0000 0.0000 0.5000 [1 per cell]
Pt 0.0000 0.5000 0.0000 [2 per cell]

---

A plane-wave DFT calculation with PBE-GGA was carried out for a relaxed BaHf2GeSe crystal.

Values from the calculation:
**Uncorrected formation energy**: 9.61 eV/f.u.
**Total magnetic moment**: 0.000 μB per atom
**Raw total energy**: -20.3 eV per cell

abc: 5.4529 5.4529 5.3933
angles: 90.00 90.00 90.00
Space group P4/mmm (No. 123)
Unique sites:
Ba 0.0000 0.0000 0.0000 [1 per cell]
Hf 0.0000 0.5000 0.0000 [2 per cell]
Ge 0.0000 0.0000 0.5000 [1 per cell]
Se 0.5000 0.5000 0.5000 [1 per cell]

---

A plane-wave DFT calculation with PBE-GGA was carried out for a relaxed USeBrF crystal.

Values from the calculation:
**Uncorrected formation energy**: -7.56 eV/f.u.
**Total magnetic moment**: 0.500 μB per atom
**Raw total energy**: -51.8 eV per cell

abc: 7.0461 4.0680 7.8654
angles: 90.00 107.44 90.00
Space group Cm (No. 8)
Unique sites:
U 0.0000 0.0000 0.0000 [2 per cell]
Se 0.0907 0.5000 0.7731 [2 per cell]
Br 0.2605 0.5000 0.2804 [2 per cell]
F 0.3466 0.0000 0.0396 [2 per cell]